[1]
The following is a DFT calculation (GGA-PBE) of crystalline Nd2ThC2I2 at its relaxed geometry.

It has space group I4/mmm (No. 139), with a = 4.737 Å, b = 4.737 Å, c = 17.567 Å, α = 90.00°, β = 90.00° and γ = 90.00°. The inequivalent atoms are Nd at (0.000, 0.000, 0.089), Th at (0.000, 0.000, 0.500), C at (0.000, 0.500, 0.000) and I at (0.000, 0.000, 0.315).

The crystal system is tetragonal.



[2]
The following is a DFT calculation (GGA-PBE) of crystalline NdThCI at its relaxed geometry.

It has space group R3m (No. 160, hexagonal axes), with a = 3.8539 Å, b = 3.8539 Å, c = 23.6152 Å, α = 90.00°, β = 90.00° and γ = 120.00°. The inequivalent atoms are Nd at (0.0000, 0.0000, 0.0000), Th at (0.0000, 0.0000, 0.7826), C at (0.0000, 0.0000, 0.3966) and I at (0.0000, 0.0000, 0.2263).

The crystal system is trigonal.



[3]
The following is a DFT calculation (GGA-PBE) of crystalline NdTmCI at its relaxed geometry.

It has space group R3m (No. 160, hexagonal axes), with a = 3.7922 Å, b = 3.7922 Å, c = 22.6504 Å, α = 90.00°, β = 90.00° and γ = 120.00°. The inequivalent atoms are Nd at (0.0000, 0.0000, 0.0000), Tm at (0.0000, 0.0000, 0.2190), C at (0.0000, 0.0000, 0.6017) and I at (0.0000, 0.0000, 0.7811).

The crystal system is trigonal.



Energy relative to the elements, uncorrected for the records above, in order: -0.435; -0.678; -0.713 eV/atom
DFT total energy for the records above, in order: -5.936; -6.418; -5.717 eV/atom